Below is a relaxed MgBeCr2 crystal, with properties calculated at the PBE-GGA level.

Output
Energy relative to the elements = 140 kJ/mol of formula units
Density of states at the Fermi level = 2.0 states/eV/cell
Energy relative to the lowest polymorph listed for this composition = 0.1433 eV per atom
Magnetization = 0.00 μB/f.u.
Raw total energy = -5.779 eV/atom

a = 2.515 Å, b = 2.515 Å, c = 7.735 Å
α = 90.00°, β = 90.00°, γ = 90.00°
Atoms (fractional coordinates):
Mg  0.000  0.000  0.000
Be  0.000  0.000  0.500
Cr  0.500  0.500  0.293
Cr  0.500  0.500  0.707